Record 1
A relaxed Na2Ni3P2 crystal, computed with PBE.

Results
Formation energy ... -0.39 eV per atom

```
data_Na2Ni3P2
_symmetry_space_group_name_H-M 'C 1 2/m 1'
_symmetry_Int_Tables_number 12
_cell_length_a 10.706
_cell_length_b 3.625
_cell_length_c 6.816
_cell_angle_alpha 90.00
_cell_angle_beta 120.73
_cell_angle_gamma 90.00
loop_
_symmetry_equiv_pos_as_xyz
'x,y,z'
'-x,-y,-z'
'-x,y,-z'
'x,-y,z'
'x+1/2,y+1/2,z'
'-x+1/2,-y+1/2,-z'
'-x+1/2,y+1/2,-z'
'x+1/2,-y+1/2,z'
loop_
_atom_site_label
_atom_site_type_symbol
_atom_site_fract_x
_atom_site_fract_y
_atom_site_fract_z
Na1 Na 0.129 0.000 0.264
Ni1 Ni 0.000 0.500 0.500
Ni2 Ni 0.162 0.500 0.917
P1 P 0.141 0.000 0.724
```

Record 2
A relaxed ZrAl2Cu crystal, computed with PBE.

Results
Formation energy ... 0.14 eV per atom

```
data_ZrAl2Cu
_symmetry_space_group_name_H-M 'P -6 m 2'
_symmetry_Int_Tables_number 187
_symmetry_space_group_name_Hall 'P -6 2'
_cell_length_a 2.9603
_cell_length_b 2.9603
_cell_length_c 9.7936
_cell_angle_alpha 90.00
_cell_angle_beta 90.00
_cell_angle_gamma 120.00
loop_
_atom_site_label
_atom_site_type_symbol
_atom_site_fract_x
_atom_site_fract_y
_atom_site_fract_z
Zr1 Zr 0.0000 0.0000 0.0000
Al1 Al 0.6667 0.3333 0.2507
Cu1 Cu 0.6667 0.3333 0.5000
```

Record 3
A relaxed ZrSi crystal, computed with PBE.

```
data_ZrSi
_symmetry_space_group_name_H-M 'I -4 3 m'
_symmetry_Int_Tables_number 217
_symmetry_space_group_name_Hall 'I -4 2 3'
_cell_length_a 8.355
_cell_length_b 8.355
_cell_length_c 8.355
_cell_angle_alpha 90.00
_cell_angle_beta 90.00
_cell_angle_gamma 90.00
loop_
_atom_site_label
_atom_site_type_symbol
_atom_site_fract_x
_atom_site_fract_y
_atom_site_fract_z
Zr1 Zr 0.151 0.151 0.849
Si1 Si 0.163 0.163 0.163
```

Record 4
A relaxed TiTeSCl2 crystal, computed with PBE.

```
data_TiTeSCl2
_symmetry_space_group_name_H-M 'P 4/m m m'
_symmetry_Int_Tables_number 123
_symmetry_space_group_name_Hall '-P 4 2'
_cell_length_a 5.309
_cell_length_b 5.309
_cell_length_c 5.278
_cell_angle_alpha 90.00
_cell_angle_beta 90.00
_cell_angle_gamma 90.00
loop_
_atom_site_label
_atom_site_type_symbol
_atom_site_fract_x
_atom_site_fract_y
_atom_site_fract_z
Ti1 Ti 0.000 0.000 0.000
Te1 Te 0.500 0.500 0.500
S1 S 0.500 0.500 0.000
Cl1 Cl 0.000 0.500 0.500
```

| no. | calculated volume (A^3/atom) | E_tot (eV/atom) | density (g/cm³) |
| --- | --- | --- | --- |
| 1 | 16.24 | -4.793 | 4.15 |
| 2 | 18.58 | -4.896 | 4.66 |
| 3 | 36.45 | -6.505 | 2.72 |
| 4 | 29.76 | -3.382 | 3.11 |